Compound: PmH8Pd2
Source: Alexandria via LeMat-Bulk
Functional: PBE-GGA
Structure: relaxed

Results
SG	No. 12
DFT total energy	-3.943	eV per atom
density of states at the Fermi level	0.1901	states/eV/atom
total moment	0.000	μB per formula unit

Geometry as CIF:
```
data_PmH8Pd2
_chemical_formula_sum 'Pm1 H8 Pd2'
_cell_length_a 5.527
_cell_length_b 5.527
_cell_length_c 3.737
_cell_angle_alpha 109.66
_cell_angle_beta 109.66
_cell_angle_gamma 86.51
_symmetry_space_group_name_H-M 'P 1'
_symmetry_Int_Tables_number 1
loop_
_symmetry_equiv_pos_as_xyz
'x,y,z'
loop_
_atom_site_label
_atom_site_type_symbol
_atom_site_fract_x
_atom_site_fract_y
_atom_site_fract_z
Pm1 Pm 0.000 0.000 0.000
H1 H 0.005 0.310 0.658
H2 H 0.310 0.005 0.658
H3 H 0.318 0.682 0.000
H4 H 0.343 0.343 0.341
H5 H 0.657 0.657 0.659
H6 H 0.682 0.318 0.000
H7 H 0.690 0.995 0.342
H8 H 0.995 0.690 0.342
Pd1 Pd 0.316 0.684 0.500
Pd2 Pd 0.684 0.316 0.500
```

***

Compound: Tb4Pm5Pr4
Source: Alexandria via LeMat-Bulk
Functional: PBE-GGA
Structure: relaxed

Results
SG	No. 87
DFT total energy	-4.707	eV per atom
density of states at the Fermi level	1.4343	states/eV/atom
energy relative to the elements	0.19	eV/f.u.
total moment	0.000	μB per formula unit

Geometry as CIF:
```
data_Tb4Pm5Pr4
_chemical_formula_sum 'Tb4 Pm5 Pr4'
_cell_length_a 9.657
_cell_length_b 9.657
_cell_length_c 9.657
_cell_angle_alpha 94.05
_cell_angle_beta 94.05
_cell_angle_gamma 149.16
_symmetry_space_group_name_H-M 'P 1'
_symmetry_Int_Tables_number 1
loop_
_symmetry_equiv_pos_as_xyz
'x,y,z'
loop_
_atom_site_label
_atom_site_type_symbol
_atom_site_fract_x
_atom_site_fract_y
_atom_site_fract_z
Tb1 Tb 0.154 0.769 0.923
Tb2 Tb 0.231 0.154 0.385
Tb3 Tb 0.769 0.846 0.615
Tb4 Tb 0.846 0.231 0.077
Pm1 Pm 0.000 0.000 0.000
Pm2 Pm 0.309 0.540 0.849
Pm3 Pm 0.460 0.309 0.769
Pm4 Pm 0.540 0.691 0.231
Pm5 Pm 0.691 0.460 0.151
Pr1 Pr 0.078 0.382 0.460
Pr2 Pr 0.382 0.922 0.305
Pr3 Pr 0.618 0.078 0.695
Pr4 Pr 0.922 0.618 0.540
```

***

Compound: AsIrN2
Source: Alexandria via LeMat-Bulk
Functional: PBE-GGA
Structure: relaxed

Results
SG	No. 166
DFT total energy	-6.982	eV per atom
density of states at the Fermi level	0.5022	states/eV/atom
total moment	0.000	μB per formula unit
formation energy from raw total energies	0.558	eV/atom

Geometry as CIF:
```
data_AsIrN2
_chemical_formula_sum 'As1 Ir1 N2'
_cell_length_a 6.392
_cell_length_b 6.392
_cell_length_c 6.392
_cell_angle_alpha 26.08
_cell_angle_beta 26.08
_cell_angle_gamma 26.08
_symmetry_space_group_name_H-M 'P 1'
_symmetry_Int_Tables_number 1
loop_
_symmetry_equiv_pos_as_xyz
'x,y,z'
loop_
_atom_site_label
_atom_site_type_symbol
_atom_site_fract_x
_atom_site_fract_y
_atom_site_fract_z
As1 As 0.000 0.000 0.000
Ir1 Ir 0.500 0.500 0.500
N1 N 0.391 0.391 0.391
N2 N 0.609 0.609 0.609
```

***

Compound: Sb2Au
Source: Alexandria via LeMat-Bulk
Functional: PBE-GGA
Structure: relaxed

Results
SG	No. 164
DFT total energy	-3.685	eV per atom
density of states at the Fermi level	0.4896	states/eV/atom
total moment	0.000	μB per formula unit
formation energy from raw total energies	0.155	eV/atom

Geometry as CIF:
```
data_Sb2Au
_chemical_formula_sum 'Sb2 Au1'
_cell_length_a 3.366
_cell_length_b 3.366
_cell_length_c 7.735
_cell_angle_alpha 90.00
_cell_angle_beta 90.00
_cell_angle_gamma 120.00
_symmetry_space_group_name_H-M 'P 1'
_symmetry_Int_Tables_number 1
loop_
_symmetry_equiv_pos_as_xyz
'x,y,z'
loop_
_atom_site_label
_atom_site_type_symbol
_atom_site_fract_x
_atom_site_fract_y
_atom_site_fract_z
Sb1 Sb 0.333 0.667 0.287
Sb2 Sb 0.667 0.333 0.713
Au1 Au 0.000 0.000 0.000
```

***

Compound: BeRe2W
Source: Alexandria via LeMat-Bulk
Functional: PBE-GGA
Structure: relaxed

Results
SG	No. 35
DFT total energy	-10.166	eV per atom
density of states at the Fermi level	0.7093	states/eV/atom
energy relative to the elements	0.91	eV/f.u.
total moment	0.000	μB per formula unit

Geometry as CIF:
```
data_BeRe2W
_chemical_formula_sum 'Be1 Re2 W1'
_cell_length_a 2.676
_cell_length_b 2.676
_cell_length_c 8.360
_cell_angle_alpha 90.00
_cell_angle_beta 90.00
_cell_angle_gamma 110.04
_symmetry_space_group_name_H-M 'P 1'
_symmetry_Int_Tables_number 1
loop_
_symmetry_equiv_pos_as_xyz
'x,y,z'
loop_
_atom_site_label
_atom_site_type_symbol
_atom_site_fract_x
_atom_site_fract_y
_atom_site_fract_z
Be1 Be 0.000 0.000 0.000
Re1 Re 0.000 0.000 0.506
Re2 Re 0.500 0.500 0.775
W1 W 0.500 0.500 0.234
```

***

Compound: PrY2Cd6
Source: Alexandria via LeMat-Bulk
Functional: PBE-GGA
Structure: relaxed

Results
SG	No. 191
DFT total energy	-2.915	eV per atom
density of states at the Fermi level	0.8226	states/eV/atom
energy relative to the elements	-3.04	eV/f.u.
total moment	0.180	μB per formula unit

Geometry as CIF:
```
data_PrY2Cd6
_chemical_formula_sum 'Pr1 Y2 Cd6'
_cell_length_a 8.684
_cell_length_b 8.684
_cell_length_c 3.477
_cell_angle_alpha 90.00
_cell_angle_beta 90.00
_cell_angle_gamma 120.00
_symmetry_space_group_name_H-M 'P 1'
_symmetry_Int_Tables_number 1
loop_
_symmetry_equiv_pos_as_xyz
'x,y,z'
loop_
_atom_site_label
_atom_site_type_symbol
_atom_site_fract_x
_atom_site_fract_y
_atom_site_fract_z
Pr1 Pr 0.000 0.000 0.000
Y1 Y 0.333 0.667 0.000
Y2 Y 0.667 0.333 0.000
Cd1 Cd 0.000 0.336 0.500
Cd2 Cd 0.000 0.664 0.500
Cd3 Cd 0.336 0.000 0.500
Cd4 Cd 0.336 0.336 0.500
Cd5 Cd 0.664 0.000 0.500
Cd6 Cd 0.664 0.664 0.500
```

***

Compound: Pm8Tl2Ge
Source: Alexandria via LeMat-Bulk
Functional: PBE-GGA
Structure: relaxed

Results
SG	No. 12
DFT total energy	-4.565	eV per atom
density of states at the Fermi level	1.1305	states/eV/atom
energy relative to the elements	-2.86	eV/f.u.
total moment	0.000	μB per formula unit

Geometry as CIF:
```
data_Pm8Tl2Ge
_chemical_formula_sum 'Pm8 Tl2 Ge1'
_cell_length_a 10.038
_cell_length_b 10.038
_cell_length_c 6.932
_cell_angle_alpha 104.55
_cell_angle_beta 104.55
_cell_angle_gamma 30.35
_symmetry_space_group_name_H-M 'P 1'
_symmetry_Int_Tables_number 1
loop_
_symmetry_equiv_pos_as_xyz
'x,y,z'
loop_
_atom_site_label
_atom_site_type_symbol
_atom_site_fract_x
_atom_site_fract_y
_atom_site_fract_z
Pm1 Pm 0.012 0.012 0.273
Pm2 Pm 0.211 0.211 0.816
Pm3 Pm 0.347 0.347 0.512
Pm4 Pm 0.410 0.410 0.040
Pm5 Pm 0.590 0.590 0.960
Pm6 Pm 0.653 0.653 0.488
Pm7 Pm 0.789 0.789 0.184
Pm8 Pm 0.988 0.988 0.727
Tl1 Tl 0.178 0.178 0.248
Tl2 Tl 0.822 0.822 0.752
Ge1 Ge 0.500 0.500 0.500
```

***

Compound: TmPuTc
Source: Alexandria via LeMat-Bulk
Functional: PBE-GGA
Structure: relaxed

Results
SG	No. 107
DFT total energy	-9.732	eV per atom
density of states at the Fermi level	1.9754	states/eV/atom
energy relative to the elements	-0.03	eV/f.u.
total moment	5.079	μB per formula unit

Geometry as CIF:
```
data_TmPuTc
_chemical_formula_sum 'Tm1 Pu1 Tc1'
_cell_length_a 6.425
_cell_length_b 6.425
_cell_length_c 6.425
_cell_angle_alpha 149.64
_cell_angle_beta 149.64
_cell_angle_gamma 43.47
_symmetry_space_group_name_H-M 'P 1'
_symmetry_Int_Tables_number 1
loop_
_symmetry_equiv_pos_as_xyz
'x,y,z'
loop_
_atom_site_label
_atom_site_type_symbol
_atom_site_fract_x
_atom_site_fract_y
_atom_site_fract_z
Tm1 Tm 0.000 0.000 0.000
Pu1 Pu 0.281 0.281 0.000
Tc1 Tc 0.649 0.649 0.000
```

***

Question: The highest DFT total energy belongs to which entry?
Answer: PrY2Cd6

***

Question: Look up the total moment of the first one.
Answer: 0.000 μB per formula unit